This record from the Alexandria database describes an optimized crystal structure of La2YCu. The functional is PBE-GGA. Values from VASP.

**Symmetry**: I-42d, No. 122
**Crystal system**: tetragonal
**Formation energy**: 0.1079 eV/atom
**E_tot**: -79.934 eV/cell
**Offset from the most stable computed form**: 0.182 eV/atom

```
&SYSTEM
  ibrav = 0, nat = 16, ntyp = 3
/
ATOMIC_SPECIES
La 138.91 La.upf
Y 88.91 Y.upf
Cu 63.55 Cu.upf
CELL_PARAMETERS angstrom
8.7639 0.0000 0.0000
0.0000 8.7639 0.0000
0.0000 0.0000 6.3903
ATOMIC_POSITIONS angstrom
La 1.6701 6.5730 0.7988
La 2.1910 1.6701 5.5915
La 2.1910 2.7119 2.3964
La 2.7119 6.5730 3.9939
La 6.0521 2.1910 3.9939
La 6.5730 6.0521 2.3964
La 6.5730 7.0938 5.5915
La 7.0938 2.1910 0.7988
Y 0.0000 0.0000 3.1952
Y 0.0000 4.3820 4.7927
Y 4.3820 0.0000 1.5976
Y 4.3820 4.3820 0.0000
Cu 0.0000 0.0000 0.0000
Cu 0.0000 4.3820 1.5976
Cu 4.3820 0.0000 4.7927
Cu 4.3820 4.3820 3.1952
```

***

This record from the Alexandria database describes an optimized crystal structure of Tb5Sm2Bi5. The functional is PBE-GGA. Values from VASP.

**Symmetry**: C2/m, No. 12
**Crystal system**: monoclinic
**Formation energy**: -0.6113 eV/atom
**E_tot**: -59.330 eV/cell

```
&SYSTEM
  ibrav = 0, nat = 12, ntyp = 3
/
ATOMIC_SPECIES
Tb 158.93 Tb.upf
Sm 150.36 Sm.upf
Bi 208.98 Bi.upf
CELL_PARAMETERS angstrom
7.3177 -2.2320 0.0000
7.3177 2.2320 0.0000
-4.3229 0.0000 12.1477
ATOMIC_POSITIONS angstrom
Tb 0.0000 0.0000 0.0000
Tb 0.0421 0.0000 6.4817
Tb -0.4956 0.0000 10.1746
Tb 10.8081 0.0000 1.9731
Tb 10.2704 0.0000 5.6660
Sm 3.5668 0.0000 8.7233
Sm 6.7457 0.0000 3.4243
Bi 1.6825 0.0000 3.5330
Bi 5.2655 0.0000 0.7203
Bi 5.1562 0.0000 6.0738
Bi 5.0470 0.0000 11.4274
Bi 8.6300 0.0000 8.6146
```

***

Look up the formation energy of the first one.
0.1079 eV/atom

***

Please write out number 2 again, unchanged.
This record from the Alexandria database describes an optimized crystal structure of Tb5Sm2Bi5. The functional is PBE-GGA. Values from VASP.

**Symmetry**: C2/m, No. 12
**Crystal system**: monoclinic
**Formation energy**: -0.6113 eV/atom
**E_tot**: -59.330 eV/cell

```
&SYSTEM
  ibrav = 0, nat = 12, ntyp = 3
/
ATOMIC_SPECIES
Tb 158.93 Tb.upf
Sm 150.36 Sm.upf
Bi 208.98 Bi.upf
CELL_PARAMETERS angstrom
7.3177 -2.2320 0.0000
7.3177 2.2320 0.0000
-4.3229 0.0000 12.1477
ATOMIC_POSITIONS angstrom
Tb 0.0000 0.0000 0.0000
Tb 0.0421 0.0000 6.4817
Tb -0.4956 0.0000 10.1746
Tb 10.8081 0.0000 1.9731
Tb 10.2704 0.0000 5.6660
Sm 3.5668 0.0000 8.7233
Sm 6.7457 0.0000 3.4243
Bi 1.6825 0.0000 3.5330
Bi 5.2655 0.0000 0.7203
Bi 5.1562 0.0000 6.0738
Bi 5.0470 0.0000 11.4274
Bi 8.6300 0.0000 8.6146
```

***

Look up the formation energy of the first one.
0.1079 eV/atom